[1]
NaCa3Rh: relaxed, GGA-PBE.

Structure (CIF):
```
data_NaCa3Rh
_chemical_formula_sum 'Na1 Ca3 Rh1'
_cell_length_a 6.3900
_cell_length_b 6.3900
_cell_length_c 6.3900
_cell_angle_alpha 81.45
_cell_angle_beta 81.45
_cell_angle_gamma 81.45
_space_group_name_H-M_alt 'P 1'
_space_group_IT_number 1
_space_group_name_Hall 'P 1'
loop_
_atom_site_label
_atom_site_type_symbol
_atom_site_fract_x
_atom_site_fract_y
_atom_site_fract_z
_atom_site_occupancy
Na1 Na 0.6275 0.6275 0.6275 1
Ca1 Ca 0.6275 0.1143 0.6275 1
Ca2 Ca 0.1143 0.6275 0.6275 1
Ca3 Ca 0.6275 0.6275 0.1143 1
Rh1 Rh 0.8782 0.8782 0.8782 1
```

Calculated values
For the density of states at the Fermi level, the calculation gives 3.8 states/eV/f.u. The calculation puts the formation energy at 0.53 eV/atom. The energy relative to the lowest polymorph listed for this composition comes out at 3.65 eV/f.u. The space-group type is R3m (160).

***

[2]
ThPaHgBi: relaxed, GGA-PBE.

Structure (CIF):
```
data_ThPaHgBi
_chemical_formula_sum 'Th1 Pa1 Hg1 Bi1'
_cell_length_a 5.4365
_cell_length_b 5.4365
_cell_length_c 5.4365
_cell_angle_alpha 60.00
_cell_angle_beta 60.00
_cell_angle_gamma 60.00
_space_group_name_H-M_alt 'P 1'
_space_group_IT_number 1
_space_group_name_Hall 'P 1'
loop_
_atom_site_label
_atom_site_type_symbol
_atom_site_fract_x
_atom_site_fract_y
_atom_site_fract_z
_atom_site_occupancy
Pa1 Pa 0.0000 0.0000 0.0000 1
Bi1 Bi 0.7500 0.7500 0.7500 1
Th1 Th 0.5000 0.5000 0.5000 1
Hg1 Hg 0.2500 0.2500 0.2500 1
```

Calculated values
For the density of states at the Fermi level, the calculation gives 8.1 states/eV/f.u. The calculation puts the formation energy at -0.05 eV/atom. The space-group type is F-43m (216).

***

[3]
LiZnCdGa: relaxed, GGA-PBE.

Structure (CIF):
```
data_LiZnCdGa
_chemical_formula_sum 'Li1 Zn1 Cd1 Ga1'
_cell_length_a 4.3300
_cell_length_b 4.3320
_cell_length_c 4.7831
_cell_angle_alpha 116.87
_cell_angle_beta 116.91
_cell_angle_gamma 90.00
_space_group_name_H-M_alt 'P 1'
_space_group_IT_number 1
_space_group_name_Hall 'P 1'
loop_
_atom_site_label
_atom_site_type_symbol
_atom_site_fract_x
_atom_site_fract_y
_atom_site_fract_z
_atom_site_occupancy
Li1 Li 0.4999 0.4994 0.9997 1
Zn1 Zn 0.0002 0.0006 0.0004 1
Cd1 Cd 0.2501 0.7502 0.5003 1
Ga1 Ga 0.7498 0.2499 0.4996 1
```

Calculated values
For the density of states at the Fermi level, the calculation gives 1.0 states/eV/f.u. The calculation puts the formation energy at -0.13 eV/atom. The energy relative to the lowest polymorph listed for this composition comes out at 0.00 eV/f.u. The space-group type is I-4m2 (119).

***

[4]
Er4HfZn5: relaxed, GGA-PBE.

Structure (CIF):
```
data_Er4HfZn5
_chemical_formula_sum 'Er4 Hf1 Zn5'
_cell_length_a 3.4869
_cell_length_b 3.4869
_cell_length_c 17.4520
_cell_angle_alpha 90.00
_cell_angle_beta 90.00
_cell_angle_gamma 90.00
_space_group_name_H-M_alt 'P 1'
_space_group_IT_number 1
_space_group_name_Hall 'P 1'
loop_
_atom_site_label
_atom_site_type_symbol
_atom_site_fract_x
_atom_site_fract_y
_atom_site_fract_z
_atom_site_occupancy
Er1 Er 0.0000 0.0000 0.1920 1
Er2 Er 0.0000 0.0000 0.3969 1
Er3 Er 0.0000 0.0000 0.6031 1
Er4 Er 0.0000 0.0000 0.8080 1
Hf1 Hf 0.0000 0.0000 0.0000 1
Zn1 Zn 0.5000 0.5000 0.0864 1
Zn2 Zn 0.5000 0.5000 0.2940 1
Zn3 Zn 0.5000 0.5000 0.5000 1
Zn4 Zn 0.5000 0.5000 0.7060 1
Zn5 Zn 0.5000 0.5000 0.9136 1
```

Calculated values
For the density of states at the Fermi level, the calculation gives 10.0 states/eV/f.u. The calculation puts the formation energy at -0.30 eV/atom. The space-group type is P4/mmm (123).

***

[5]
CdAsCl: relaxed, GGA-PBE.

Structure (CIF):
```
data_CdAsCl
_chemical_formula_sum 'Cd2 As2 Cl2'
_cell_length_a 4.3951
_cell_length_b 3.9023
_cell_length_c 8.7710
_cell_angle_alpha 90.00
_cell_angle_beta 94.78
_cell_angle_gamma 90.00
_space_group_name_H-M_alt 'P 1'
_space_group_IT_number 1
_space_group_name_Hall 'P 1'
loop_
_atom_site_label
_atom_site_type_symbol
_atom_site_fract_x
_atom_site_fract_y
_atom_site_fract_z
_atom_site_occupancy
As1 As 0.7241 0.0000 0.9564 1
As2 As 0.3454 0.5000 0.9274 1
Cl1 Cl 0.8051 0.0000 0.5524 1
Cl2 Cl 0.2666 0.5000 0.3312 1
Cd1 Cd 0.7380 0.0000 0.2539 1
Cd2 Cd 0.3203 0.5000 0.6297 1
```

Calculated values
The uncorrected formation energy comes out at -0.49 eV per atom. The energy relative to the lowest polymorph listed for this composition comes out at 0.17 eV/f.u. The space-group type is Pm (6).

***

[6]
SrMnB12: relaxed, GGA-PBE.

Structure (CIF):
```
data_SrMnB12
_chemical_formula_sum 'Sr1 Mn1 B12'
_cell_length_a 4.1547
_cell_length_b 4.1547
_cell_length_c 8.2916
_cell_angle_alpha 90.00
_cell_angle_beta 90.00
_cell_angle_gamma 90.00
_space_group_name_H-M_alt 'P 1'
_space_group_IT_number 1
_space_group_name_Hall 'P 1'
loop_
_atom_site_label
_atom_site_type_symbol
_atom_site_fract_x
_atom_site_fract_y
_atom_site_fract_z
_atom_site_occupancy
Sr1 Sr 0.0000 0.0000 0.5000 1
Mn1 Mn 0.0000 0.0000 0.0000 1
B1 B 0.2012 0.5000 0.2462 1
B2 B 0.2012 0.5000 0.7538 1
B3 B 0.5000 0.5000 0.3975 1
B4 B 0.5000 0.5000 0.9011 1
B5 B 0.5000 0.2012 0.2462 1
B6 B 0.5000 0.2012 0.7538 1
B7 B 0.5000 0.5000 0.0989 1
B8 B 0.5000 0.5000 0.6025 1
B9 B 0.5000 0.7988 0.2462 1
B10 B 0.5000 0.7988 0.7538 1
B11 B 0.7988 0.5000 0.2462 1
B12 B 0.7988 0.5000 0.7538 1
```

Calculated values
For the density of states at the Fermi level, the calculation gives 1.2 states/eV/f.u. The calculation puts the formation energy at -0.08 eV/atom. The space-group type is P4/mmm (123).

***

[7]
Pr3Ho6Tm2: relaxed, GGA-PBE.

Structure (CIF):
```
data_Pr3Ho6Tm2
_chemical_formula_sum 'Pr3 Ho6 Tm2'
_cell_length_a 3.5747
_cell_length_b 3.5747
_cell_length_c 31.9425
_cell_angle_alpha 86.79
_cell_angle_beta 86.79
_cell_angle_gamma 60.00
_space_group_name_H-M_alt 'P 1'
_space_group_IT_number 1
_space_group_name_Hall 'P 1'
loop_
_atom_site_label
_atom_site_type_symbol
_atom_site_fract_x
_atom_site_fract_y
_atom_site_fract_z
_atom_site_occupancy
Pr1 Pr 0.0000 0.0000 0.0000 1
Pr2 Pr 0.7283 0.7283 0.8151 1
Pr3 Pr 0.2717 0.2717 0.1849 1
Ho1 Ho 0.9074 0.9074 0.2779 1
Ho2 Ho 0.0926 0.0926 0.7221 1
Ho3 Ho 0.8184 0.8184 0.5448 1
Ho4 Ho 0.1816 0.1816 0.4552 1
Ho5 Ho 0.6359 0.6359 0.0924 1
Ho6 Ho 0.3641 0.3641 0.9076 1
Tm1 Tm 0.5445 0.5445 0.3665 1
Tm2 Tm 0.4555 0.4555 0.6335 1
```

Calculated values
For the density of states at the Fermi level, the calculation gives 14.0 states/eV/f.u. The calculation puts the formation energy at 0.02 eV/atom. The energy relative to the lowest polymorph listed for this composition comes out at 0.00 eV/f.u. The space-group type is R-3m (166).

***

[8]
Bi4I2O5: relaxed, GGA-PBE.

Structure (CIF):
```
data_Bi4I2O5
_chemical_formula_sum 'Bi16 I8 O20'
_cell_length_a 5.8167
_cell_length_b 11.4965
_cell_length_c 15.2097
_cell_angle_alpha 100.30
_cell_angle_beta 90.00
_cell_angle_gamma 90.00
_space_group_name_H-M_alt 'P 1'
_space_group_IT_number 1
_space_group_name_Hall 'P 1'
loop_
_atom_site_label
_atom_site_type_symbol
_atom_site_fract_x
_atom_site_fract_y
_atom_site_fract_z
_atom_site_occupancy
Bi1 Bi 0.2463 0.7726 0.8530 1
Bi2 Bi 0.7463 0.2274 0.1470 1
Bi3 Bi 0.7467 0.6278 0.7034 1
Bi4 Bi 0.2467 0.3722 0.2966 1
Bi5 Bi 0.3098 0.7295 0.1158 1
Bi6 Bi 0.8098 0.2705 0.8842 1
Bi7 Bi 0.8683 0.5900 0.9597 1
Bi8 Bi 0.3683 0.4100 0.0403 1
Bi9 Bi 0.3413 0.4279 0.7855 1
Bi10 Bi 0.8413 0.5721 0.2145 1
Bi11 Bi 0.7668 0.2649 0.6353 1
Bi12 Bi 0.2668 0.7351 0.3647 1
Bi13 Bi 0.2538 0.0741 0.4607 1
Bi14 Bi 0.7538 0.9259 0.5393 1
Bi15 Bi 0.7585 0.9063 0.2952 1
Bi16 Bi 0.2585 0.0937 0.7048 1
I1 I 0.2433 0.7756 0.6164 1
I2 I 0.7433 0.2244 0.3836 1
I3 I 0.7213 0.6113 0.4438 1
I4 I 0.2213 0.3887 0.5562 1
I5 I 0.7469 0.9423 0.7763 1
I6 I 0.7344 0.8804 0.0507 1
I7 I 0.2344 0.1196 0.9493 1
I8 I 0.2469 0.0577 0.2237 1
O1 O 0.2134 0.6888 0.9670 1
O2 O 0.7134 0.3112 0.0330 1
O3 O 0.4889 0.6379 0.8054 1
O4 O 0.9889 0.3621 0.1946 1
O5 O 0.9900 0.6392 0.8102 1
O6 O 0.4900 0.3608 0.1898 1
O7 O 0.6945 0.4464 0.7135 1
O8 O 0.1945 0.5536 0.2865 1
O9 O 0.5495 0.4219 0.9058 1
O10 O 0.0495 0.5781 0.0942 1
O11 O 0.0515 0.4207 0.9129 1
O12 O 0.5515 0.5793 0.0871 1
O13 O 0.5123 0.9241 0.4197 1
O14 O 0.0123 0.0759 0.5803 1
O15 O 0.9942 0.9216 0.4192 1
O16 O 0.4942 0.0784 0.5808 1
O17 O 0.0207 0.2482 0.7399 1
O18 O 0.0088 0.7567 0.2558 1
O19 O 0.5088 0.2433 0.7442 1
O20 O 0.5207 0.7518 0.2601 1
```

Calculated values
For the density of states at the Fermi level, the calculation gives 0.0 states/eV/f.u. The uncorrected formation energy comes out at -1.11 eV per atom. The space-group type is P2_1 (4).

***

[9]
DyEr2Sc4: relaxed, GGA-PBE.

Structure (CIF):
```
data_DyEr2Sc4
_chemical_formula_sum 'Dy1 Er2 Sc4'
_cell_length_a 5.2264
_cell_length_b 3.5846
_cell_length_c 10.6194
_cell_angle_alpha 99.72
_cell_angle_beta 90.00
_cell_angle_gamma 90.00
_space_group_name_H-M_alt 'P 1'
_space_group_IT_number 1
_space_group_name_Hall 'P 1'
loop_
_atom_site_label
_atom_site_type_symbol
_atom_site_fract_x
_atom_site_fract_y
_atom_site_fract_z
_atom_site_occupancy
Dy1 Dy 0.0000 0.5000 0.0000 1
Er1 Er 0.5000 0.0736 0.1472 1
Er2 Er 0.5000 0.9264 0.8528 1
Sc1 Sc 0.5000 0.6970 0.3940 1
Sc2 Sc 0.0000 0.8203 0.6405 1
Sc3 Sc 0.5000 0.3030 0.6060 1
Sc4 Sc 0.0000 0.1797 0.3595 1
```

Calculated values
For the density of states at the Fermi level, the calculation gives 12.1 states/eV/f.u. The calculation puts the formation energy at 0.17 eV/atom. The energy relative to the lowest polymorph listed for this composition comes out at 0.74 eV/f.u. The space-group type is Cmmm (65).

***

[10]
Pm5Pr2TmSc: relaxed, GGA-PBE.

Structure (CIF):
```
data_Pm5Pr2TmSc
_chemical_formula_sum 'Pm10 Pr4 Tm2 Sc2'
_cell_length_a 8.4178
_cell_length_b 8.4178
_cell_length_c 10.4084
_cell_angle_alpha 113.85
_cell_angle_beta 113.85
_cell_angle_gamma 90.00
_space_group_name_H-M_alt 'P 1'
_space_group_IT_number 1
_space_group_name_Hall 'P 1'
loop_
_atom_site_label
_atom_site_type_symbol
_atom_site_fract_x
_atom_site_fract_y
_atom_site_fract_z
_atom_site_occupancy
Pm1 Pm 0.9271 0.4271 0.2939 1
Pm2 Pm 0.6332 0.1332 0.7061 1
Pm3 Pm 0.0729 0.5729 0.7061 1
Pm4 Pm 0.1332 0.0729 0.7061 1
Pm5 Pm 0.5729 0.6332 0.7061 1
Pm6 Pm 0.8668 0.9271 0.2939 1
Pm7 Pm 0.4271 0.3668 0.2939 1
Pm8 Pm 0.3668 0.8668 0.2939 1
Pm9 Pm 0.5000 0.5000 0.0000 1
Pm10 Pm 0.0000 0.0000 0.0000 1
Pr1 Pr 0.1255 0.3745 0.0000 1
Pr2 Pr 0.6255 0.1255 0.0000 1
Pr3 Pr 0.3745 0.8745 0.0000 1
Pr4 Pr 0.8745 0.6255 0.0000 1
Tm1 Tm 0.2500 0.2500 0.5000 1
Tm2 Tm 0.7500 0.7500 0.5000 1
Sc1 Sc 0.2500 0.7500 0.5000 1
Sc2 Sc 0.7500 0.2500 0.5000 1
```

Calculated values
For the density of states at the Fermi level, the calculation gives 12.3 states/eV/f.u. The calculation puts the formation energy at 0.27 eV/atom. The space-group type is I4/mcm (140).

***

[11]
PrYIrBr: relaxed, GGA-PBE.

Structure (CIF):
```
data_PrYIrBr
_chemical_formula_sum 'Pr1 Y1 Ir1 Br1'
_cell_length_a 4.1210
_cell_length_b 4.1207
_cell_length_c 8.1514
_cell_angle_alpha 90.01
_cell_angle_beta 104.64
_cell_angle_gamma 120.00
_space_group_name_H-M_alt 'P 1'
_space_group_IT_number 1
_space_group_name_Hall 'P 1'
loop_
_atom_site_label
_atom_site_type_symbol
_atom_site_fract_x
_atom_site_fract_y
_atom_site_fract_z
_atom_site_occupancy
Pr1 Pr 0.5097 0.1526 0.6779 1
Y1 Y 0.0981 0.9469 0.0605 1
Ir1 Ir 0.3094 0.5526 0.8775 1
Br1 Br 0.9608 0.3787 0.3538 1
```

Calculated values
For the density of states at the Fermi level, the calculation gives 1.0 states/eV/f.u. The uncorrected formation energy comes out at -1.06 eV per atom. The space-group type is R3m (160).

***

[12]
NbCdNF2: relaxed, GGA-PBE.

Structure (CIF):
```
data_NbCdNF2
_chemical_formula_sum 'Nb1 Cd1 N1 F2'
_cell_length_a 4.1081
_cell_length_b 4.1081
_cell_length_c 4.6974
_cell_angle_alpha 90.00
_cell_angle_beta 90.00
_cell_angle_gamma 90.00
_space_group_name_H-M_alt 'P 1'
_space_group_IT_number 1
_space_group_name_Hall 'P 1'
loop_
_atom_site_label
_atom_site_type_symbol
_atom_site_fract_x
_atom_site_fract_y
_atom_site_fract_z
_atom_site_occupancy
N1 N 0.0000 0.0000 0.5000 1
Nb1 Nb 0.5000 0.5000 0.5000 1
F1 F 0.0000 0.5000 0.0000 1
F2 F 0.5000 0.0000 0.0000 1
Cd1 Cd 0.0000 0.0000 0.0000 1
```

Calculated values
For the density of states at the Fermi level, the calculation gives 4.7 states/eV/f.u. The uncorrected formation energy comes out at 0.04 eV per atom. The energy relative to the lowest polymorph listed for this composition comes out at 6.09 eV/f.u. The space-group type is P4/mmm (123).

***

no.,calculated volume (Å³/atom),spin magnetization (μB per formula unit)
1,50.60,0.0
2,28.40,2.0
3,17.24,0.0
4,21.22,0.0
5,24.98,0.0
6,10.22,4.8
7,32.07,0.0
8,22.74,0.0
9,28.01,0.0
10,33.61,0.0
11,28.66,0.0
12,15.86,2.0